VASP calculation (PBE) on a geometry-optimized Ti5Ga4Ir structure.

Calculated values
uncorrected energy = -6.290 eV per atom
relative energy among the computed polymorphs = 206 meV per atom
formation energy = -0.25 eV per atom
total moment = 0.0 μB per formula unit
crystal system = tetragonal

Lattice parameters (Å, degrees): 6.246 6.246 6.246 100.63 100.63 129.14
Sites, in units of the cell vectors:
Ti: 0.000 0.000 0.000
Ti: 0.031 0.815 0.376
Ti: 0.439 0.655 0.624
Ti: 0.655 0.031 0.216
Ti: 0.815 0.439 0.784
Ga: 0.149 0.510 0.178
Ga: 0.332 0.971 0.822
Ga: 0.510 0.332 0.361
Ga: 0.971 0.149 0.639
Ir: 0.508 0.508 0.000

=====

VASP calculation (PBE) on a geometry-optimized Ti3Ga3Ir structure.

Calculated values
uncorrected energy = -6.430 eV per atom
formation energy = -0.48 eV per atom
total moment = 0.0 μB per formula unit
crystal system = hexagonal

Lattice parameters (Å, degrees): 7.255 7.255 4.831 90.00 90.00 120.00
Sites, in units of the cell vectors:
Ti: 0.083 0.623 0.250
Ti: 0.377 0.460 0.250
Ti: 0.460 0.083 0.750
Ti: 0.540 0.917 0.250
Ti: 0.623 0.540 0.750
Ti: 0.917 0.377 0.750
Ga: 0.048 0.805 0.750
Ga: 0.195 0.243 0.750
Ga: 0.243 0.048 0.250
Ga: 0.757 0.952 0.750
Ga: 0.805 0.757 0.250
Ga: 0.952 0.195 0.250
Ir: 0.333 0.667 0.750
Ir: 0.667 0.333 0.250

=====

VASP calculation (PBE) on a geometry-optimized Ti8Ga2Ir structure.

Calculated values
uncorrected energy = -7.435 eV per atom
formation energy = -0.34 eV per atom
total moment = 0.0 μB per formula unit
crystal system = monoclinic

Lattice parameters (Å, degrees): 7.231 7.231 6.679 114.61 114.61 35.30
Sites, in units of the cell vectors:
Ti: 0.026 0.026 0.275
Ti: 0.173 0.173 0.741
Ti: 0.334 0.334 0.587
Ti: 0.409 0.409 0.065
Ti: 0.591 0.591 0.935
Ti: 0.666 0.666 0.413
Ti: 0.827 0.827 0.259
Ti: 0.974 0.974 0.725
Ga: 0.191 0.191 0.155
Ga: 0.809 0.809 0.845
Ir: 0.500 0.500 0.500

=====

VASP calculation (PBE) on a geometry-optimized TiGa2Ir2 structure.

Calculated values
uncorrected energy = -6.690 eV per atom
relative energy among the computed polymorphs = 251 meV per atom
formation energy = -0.36 eV per atom
total moment = 0.0 μB per formula unit
crystal system = tetragonal

Lattice parameters (Å, degrees): 6.802 6.802 6.802 149.53 149.53 43.63
Sites, in units of the cell vectors:
Ti: 0.000 0.000 0.000
Ga: 0.250 0.750 0.500
Ga: 0.750 0.250 0.500
Ir: 0.399 0.399 0.000
Ir: 0.601 0.601 0.000

=====

VASP calculation (PBE) on a geometry-optimized TiGa2Ir2 structure.

Calculated values
uncorrected energy = -6.794 eV per atom
relative energy among the computed polymorphs = 147 meV per atom
formation energy = -0.46 eV per atom
total moment = 0.0 μB per formula unit
crystal system = tetragonal

Lattice parameters (Å, degrees): 7.342 7.342 2.819 90.00 90.00 90.00
Sites, in units of the cell vectors:
Ti: 0.000 0.000 0.000
Ti: 0.500 0.500 0.000
Ga: 0.127 0.373 0.000
Ga: 0.373 0.873 0.000
Ga: 0.627 0.127 0.000
Ga: 0.873 0.627 0.000
Ir: 0.172 0.672 0.500
Ir: 0.328 0.172 0.500
Ir: 0.672 0.828 0.500
Ir: 0.828 0.328 0.500

=====

VASP calculation (PBE) on a geometry-optimized Ti3Ga6Ir structure.

Calculated values
uncorrected energy = -5.436 eV per atom
formation energy = -0.36 eV per atom
total moment = 0.0 μB per formula unit
crystal system = trigonal

Lattice parameters (Å, degrees): 6.932 6.932 6.932 94.80 94.80 94.80
Sites, in units of the cell vectors:
Ti: 0.174 0.750 0.326
Ti: 0.250 0.674 0.826
Ti: 0.326 0.174 0.750
Ti: 0.674 0.826 0.250
Ti: 0.750 0.326 0.174
Ti: 0.826 0.250 0.674
Ga: 0.007 0.909 0.646
Ga: 0.091 0.354 0.993
Ga: 0.146 0.409 0.507
Ga: 0.354 0.993 0.091
Ga: 0.409 0.507 0.146
Ga: 0.493 0.854 0.591
Ga: 0.507 0.146 0.409
Ga: 0.591 0.493 0.854
Ga: 0.646 0.007 0.909
Ga: 0.854 0.591 0.493
Ga: 0.909 0.646 0.007
Ga: 0.993 0.091 0.354
Ir: 0.000 0.000 0.000
Ir: 0.500 0.500 0.500

=====

VASP calculation (PBE) on a geometry-optimized Ti2GaIr structure.

Calculated values
uncorrected energy = -7.503 eV per atom
formation energy = -0.58 eV per atom
total moment = 0.0 μB per formula unit
crystal system = tetragonal

Lattice parameters (Å, degrees): 3.270 3.270 5.790 90.00 90.00 90.00
Sites, in units of the cell vectors:
Ti: 0.000 0.000 0.246
Ti: 0.000 0.000 0.754
Ga: 0.500 0.500 0.500
Ir: 0.500 0.500 0.000

=====

VASP calculation (PBE) on a geometry-optimized Ti2GaIr structure.

Calculated values
uncorrected energy = -7.067 eV per atom
formation energy = -0.15 eV per atom
total moment = 0.0 μB per formula unit
crystal system = tetragonal

Lattice parameters (Å, degrees): 5.741 5.741 5.741 102.65 102.65 124.19
Sites, in units of the cell vectors:
Ti: 0.091 0.625 0.966
Ti: 0.375 0.341 0.466
Ti: 0.659 0.125 0.034
Ti: 0.875 0.909 0.534
Ga: 0.250 0.750 0.500
Ga: 0.500 0.500 0.000
Ir: 0.000 0.000 0.000
Ir: 0.750 0.250 0.500